# 1
A plane-wave DFT calculation with PBE was carried out for an optimized crystal structure of Ho2HgAu3.

Geometry as CIF:
```
data_Ho2HgAu3
_cell_length_a 5.859
_cell_length_b 5.859
_cell_length_c 8.891
_cell_angle_alpha 102.47
_cell_angle_beta 102.47
_cell_angle_gamma 110.15
_space_group_name_H-M_alt 'P 1'
_space_group_IT_number 1
loop_
_space_group_symop_operation_xyz
'x,y,z'
loop_
_atom_site_label
_atom_site_type_symbol
_atom_site_fract_x
_atom_site_fract_y
_atom_site_fract_z
Ho1 Ho 0.250 0.750 0.500
Ho2 Ho 0.754 0.754 0.000
Ho3 Ho 0.750 0.250 0.500
Ho4 Ho 0.246 0.246 0.000
Hg1 Hg 0.667 0.667 0.333
Hg2 Hg 0.333 0.333 0.667
Au1 Au 0.333 0.834 0.167
Au2 Au 0.166 0.667 0.833
Au3 Au 0.667 0.166 0.833
Au4 Au 0.834 0.333 0.167
Au5 Au 0.165 0.165 0.330
Au6 Au 0.835 0.835 0.670
```

# 2
A plane-wave DFT calculation with PBE was carried out for an optimized crystal structure of Pm12Pr6Tm.

Computed properties:
ΔE to the lowest computed polymorph = 168.5 meV per atom

Geometry as CIF:
```
data_Pm12Pr6Tm
_cell_length_a 10.008
_cell_length_b 10.008
_cell_length_c 10.008
_cell_angle_alpha 112.29
_cell_angle_beta 112.29
_cell_angle_gamma 112.29
_space_group_name_H-M_alt 'P 1'
_space_group_IT_number 1
loop_
_space_group_symop_operation_xyz
'x,y,z'
loop_
_atom_site_label
_atom_site_type_symbol
_atom_site_fract_x
_atom_site_fract_y
_atom_site_fract_z
Pm1 Pm 0.878 0.122 0.500
Pm2 Pm 0.264 0.906 0.264
Pm3 Pm 0.264 0.264 0.906
Pm4 Pm 0.094 0.736 0.736
Pm5 Pm 0.736 0.736 0.094
Pm6 Pm 0.736 0.094 0.736
Pm7 Pm 0.500 0.878 0.122
Pm8 Pm 0.122 0.500 0.878
Pm9 Pm 0.122 0.878 0.500
Pm10 Pm 0.500 0.122 0.878
Pm11 Pm 0.878 0.500 0.122
Pm12 Pm 0.906 0.264 0.264
Pr1 Pr 0.732 0.477 0.732
Pr2 Pr 0.732 0.732 0.477
Pr3 Pr 0.477 0.732 0.732
Pr4 Pr 0.268 0.268 0.523
Pr5 Pr 0.268 0.523 0.268
Pr6 Pr 0.523 0.268 0.268
Tm1 Tm 0.000 0.000 0.000
```

Values of energy of formation, in order: -3.98, 5.66, all in eV/f.u..